# 1
Material: TbSmDy5Th2
Method: DFT, GGA-PBE
State: optimized geometry

Cell: 9.921 9.921 9.921 Å, 127.60 127.60 77.27°
Element x y z (fractional)
Tb 0.250 0.250 0.000
Tb 0.750 0.750 0.000
Sm 0.250 0.750 0.500
Sm 0.750 0.250 0.500
Dy 0.000 0.000 0.000
Dy 0.069 0.569 0.918
Dy 0.152 0.069 0.500
Dy 0.348 0.848 0.918
Dy 0.431 0.348 0.500
Dy 0.500 0.500 0.000
Dy 0.569 0.652 0.500
Dy 0.652 0.152 0.082
Dy 0.848 0.931 0.500
Dy 0.931 0.431 0.082
Th 0.119 0.381 0.500
Th 0.381 0.881 0.261
Th 0.619 0.119 0.739
Th 0.881 0.619 0.500

DFT total energy, eV/atom: -4.912
ΔE_f, meV/atom: 332
SG: I4/mcm, No. 140
Size of the total moment, μB per atom: 0.0000

# 2
Material: BaLi2ScBr8
Method: DFT, GGA-PBE
State: optimized geometry

Cell: 6.897 6.897 8.904 Å, 90.00 90.00 120.00°
Element x y z (fractional)
Ba 0.000 0.000 0.000
Li 0.333 0.667 0.708
Li 0.667 0.333 0.292
Sc 0.000 0.000 0.500
Br 0.024 0.707 0.320
Br 0.293 0.318 0.320
Br 0.318 0.024 0.680
Br 0.333 0.667 0.992
Br 0.667 0.333 0.008
Br 0.682 0.976 0.320
Br 0.707 0.682 0.680
Br 0.976 0.293 0.680

Raw formation energy, eV per atom: -1.497
DFT total energy, eV/atom: -3.619
SG: P-3, No. 147
Size of the total moment, μB per atom: 0.0763

# 3
Material: Y2ZrRh
Method: DFT, GGA-PBE
State: optimized geometry

Cell: 3.447 3.447 8.278 Å, 90.00 90.00 90.00°
Element x y z (fractional)
Y 0.000 0.000 0.000
Y 0.500 0.500 0.338
Zr 0.000 0.000 0.612
Rh 0.500 0.500 0.786

DFT total energy, eV/atom: -7.555
ΔE_f, meV/atom: -348
SG: P4mm, No. 99
Size of the total moment, μB per atom: 0.0000

# 4
Material: PrSm
Method: DFT, GGA-PBE
State: optimized geometry

Cell: 5.956 3.701 6.407 Å, 90.00 90.00 90.00°
Element x y z (fractional)
Pr 0.250 0.000 0.166
Pr 0.750 0.000 0.834
Sm 0.250 0.500 0.665
Sm 0.750 0.500 0.335

DFT total energy, eV/atom: -4.714
ΔE_f, meV/atom: 36
SG: Pmma, No. 51
Size of the total moment, μB per atom: 0.0001